An optimized crystal structure of CoIrNF2, computed with PBE+U.

```
5
Lattice="3.549 0.000 0.000 0.000 3.549 0.000 0.000 0.000 4.617" Properties=species:S:1:pos:R:3 pbc="T T T"
Co 0.000 0.000 0.000
Ir 1.775 1.775 2.308
N 0.000 0.000 2.308
F 0.000 1.775 0.000
F 1.775 0.000 0.000
```

Offset from the most stable computed form ... 443 meV/atom
Calculated total energy ... -0.1727 hartree per atom